# Tb3Nd2Y6Tm

An optimized crystal structure of Tb3Nd2Y6Tm (GGA-PBE, the Alexandria database).

**Calculated density**: 6.27 g/cm³
**Total DFT energy (no corrections)**: -5.54 eV per atom
**Crystal system**: monoclinic

CIF file:
```
data_Tb3Nd2Y6Tm
_chemical_formula_sum 'Tb6 Nd4 Y12 Tm2'
_symmetry_space_group_name_H-M 'C 1 2/m 1'
_symmetry_Int_Tables_number 12
_symmetry_space_group_name_Hall '-C 2y'
_cell_length_a 6.202
_cell_length_b 10.734
_cell_length_c 11.852
_cell_angle_alpha 90.00
_cell_angle_beta 99.99
_cell_angle_gamma 90.00
loop_
_atom_site_label
_atom_site_type_symbol
_atom_site_fract_x
_atom_site_fract_y
_atom_site_fract_z
Tb1 Tb 0.000 0.000 0.000
Tb2 Tb 0.000 0.334 0.000
Nd1 Nd 0.000 0.167 0.500
Y1 Y 0.248 0.500 0.248
Y2 Y 0.250 0.166 0.249
Tm1 Tm 0.000 0.500 0.500
```

# TbNd2Y2Tm4

An optimized crystal structure of TbNd2Y2Tm4 (GGA-PBE, the Alexandria database).

**Calculated density**: 7.53 g/cm³
**Total DFT energy (no corrections)**: -5.00 eV per atom
**Crystal system**: monoclinic

CIF file:
```
data_TbNd2Y2Tm4
_chemical_formula_sum 'Tb2 Nd4 Y4 Tm8'
_symmetry_space_group_name_H-M 'C 1 2/m 1'
_symmetry_Int_Tables_number 12
_symmetry_space_group_name_Hall '-C 2y'
_cell_length_a 18.625
_cell_length_b 3.588
_cell_length_c 9.532
_cell_angle_alpha 90.00
_cell_angle_beta 115.76
_cell_angle_gamma 90.00
loop_
_atom_site_label
_atom_site_type_symbol
_atom_site_fract_x
_atom_site_fract_y
_atom_site_fract_z
Tb1 Tb 0.000 0.000 0.000
Nd1 Nd 0.166 0.500 0.002
Y1 Y 0.147 0.000 0.662
Tm1 Tm 0.020 0.500 0.335
Tm2 Tm 0.185 0.000 0.337
```

# TbNd2Y6Tm

An optimized crystal structure of TbNd2Y6Tm (GGA-PBE, the Alexandria database).

**Calculated density**: 5.80 g/cm³
**Total DFT energy (no corrections)**: -5.63 eV per atom
**Crystal system**: monoclinic

CIF file:
```
data_TbNd2Y6Tm
_chemical_formula_sum 'Tb4 Nd8 Y24 Tm4'
_symmetry_space_group_name_H-M 'C 1 2/c 1'
_symmetry_Int_Tables_number 15
_symmetry_space_group_name_Hall '-C 2yc'
_cell_length_a 9.086
_cell_length_b 15.048
_cell_length_c 9.769
_cell_angle_alpha 90.00
_cell_angle_beta 99.59
_cell_angle_gamma 90.00
loop_
_atom_site_label
_atom_site_type_symbol
_atom_site_fract_x
_atom_site_fract_y
_atom_site_fract_z
Tb1 Tb 0.000 0.018 0.250
Nd1 Nd 0.245 0.050 0.545
Y1 Y 0.066 0.189 0.943
Y2 Y 0.101 0.396 0.118
Y3 Y 0.204 0.222 0.313
Tm1 Tm 0.000 0.407 0.750
```

# TbNdY3Tm

An optimized crystal structure of TbNdY3Tm (GGA-PBE, the Alexandria database).

**Calculated density**: 6.33 g/cm³
**Total DFT energy (no corrections)**: -5.52 eV per atom
**Crystal system**: orthorhombic

CIF file:
```
data_TbNdY3Tm
_chemical_formula_sum 'Tb4 Nd4 Y12 Tm4'
_symmetry_space_group_name_H-M 'C m c m'
_symmetry_Int_Tables_number 63
_symmetry_space_group_name_Hall '-C 2c 2'
_cell_length_a 5.050
_cell_length_b 15.172
_cell_length_c 10.117
_cell_angle_alpha 90.00
_cell_angle_beta 90.00
_cell_angle_gamma 90.00
loop_
_atom_site_label
_atom_site_type_symbol
_atom_site_fract_x
_atom_site_fract_y
_atom_site_fract_z
Tb1 Tb 0.000 0.000 0.000
Nd1 Nd 0.000 0.499 0.250
Y1 Y 0.000 0.168 0.250
Y2 Y 0.000 0.333 0.000
Tm1 Tm 0.000 0.167 0.750
```

# Tb6Nd2YTm

An optimized crystal structure of Tb6Nd2YTm (GGA-PBE, the Alexandria database).

**Calculated density**: 7.58 g/cm³
**Total DFT energy (no corrections)**: -4.71 eV per atom
**Crystal system**: monoclinic

CIF file:
```
data_Tb6Nd2YTm
_chemical_formula_sum 'Tb24 Nd8 Y4 Tm4'
_symmetry_space_group_name_H-M 'C 1 2/c 1'
_symmetry_Int_Tables_number 15
_symmetry_space_group_name_Hall '-C 2yc'
_cell_length_a 9.049
_cell_length_b 15.162
_cell_length_c 9.683
_cell_angle_alpha 90.00
_cell_angle_beta 98.44
_cell_angle_gamma 90.00
loop_
_atom_site_label
_atom_site_type_symbol
_atom_site_fract_x
_atom_site_fract_y
_atom_site_fract_z
Tb1 Tb 0.063 0.190 0.444
Tb2 Tb 0.104 0.395 0.619
Tb3 Tb 0.203 0.223 0.812
Nd1 Nd 0.249 0.053 0.042
Y1 Y 0.000 0.019 0.750
Tm1 Tm 0.000 0.408 0.250
```

# Tb6Nd3Y2Tm

An optimized crystal structure of Tb6Nd3Y2Tm (GGA-PBE, the Alexandria database).

**Calculated density**: 7.34 g/cm³
**Total DFT energy (no corrections)**: -4.94 eV per atom
**Crystal system**: monoclinic

CIF file:
```
data_Tb6Nd3Y2Tm
_chemical_formula_sum 'Tb12 Nd6 Y4 Tm2'
_symmetry_space_group_name_H-M 'C 1 2/m 1'
_symmetry_Int_Tables_number 12
_symmetry_space_group_name_Hall '-C 2y'
_cell_length_a 6.220
_cell_length_b 10.767
_cell_length_c 11.886
_cell_angle_alpha 90.00
_cell_angle_beta 100.00
_cell_angle_gamma 90.00
loop_
_atom_site_label
_atom_site_type_symbol
_atom_site_fract_x
_atom_site_fract_y
_atom_site_fract_z
Tb1 Tb 0.248 0.166 0.246
Tb2 Tb 0.250 0.000 0.754
Nd1 Nd 0.000 0.167 0.500
Nd2 Nd 0.000 0.500 0.500
Y1 Y 0.000 0.333 0.000
Tm1 Tm 0.000 0.000 0.000
```

# TbNdYTm3

An optimized crystal structure of TbNdYTm3 (GGA-PBE, the Alexandria database).

**Calculated density**: 7.80 g/cm³
**Total DFT energy (no corrections)**: -4.76 eV per atom
**Crystal system**: orthorhombic

CIF file:
```
data_TbNdYTm3
_chemical_formula_sum 'Tb4 Nd4 Y4 Tm12'
_symmetry_space_group_name_H-M 'C m c m'
_symmetry_Int_Tables_number 63
_symmetry_space_group_name_Hall '-C 2c 2'
_cell_length_a 5.685
_cell_length_b 11.949
_cell_length_c 11.273
_cell_angle_alpha 90.00
_cell_angle_beta 90.00
_cell_angle_gamma 90.00
loop_
_atom_site_label
_atom_site_type_symbol
_atom_site_fract_x
_atom_site_fract_y
_atom_site_fract_z
Tb1 Tb 0.000 0.000 0.000
Nd1 Nd 0.000 0.478 0.250
Y1 Y 0.000 0.174 0.250
Tm1 Tm 0.000 0.153 0.750
Tm2 Tm 0.000 0.326 0.520
```

# TbNd2YTm6

An optimized crystal structure of TbNd2YTm6 (GGA-PBE, the Alexandria database).

**Calculated density**: 8.08 g/cm³
**Total DFT energy (no corrections)**: -4.63 eV per atom
**Crystal system**: monoclinic

CIF file:
```
data_TbNd2YTm6
_chemical_formula_sum 'Tb4 Nd8 Y4 Tm24'
_symmetry_space_group_name_H-M 'C 1 2/c 1'
_symmetry_Int_Tables_number 15
_symmetry_space_group_name_Hall '-C 2yc'
_cell_length_a 8.947
_cell_length_b 14.981
_cell_length_c 9.625
_cell_angle_alpha 90.00
_cell_angle_beta 99.03
_cell_angle_gamma 90.00
loop_
_atom_site_label
_atom_site_type_symbol
_atom_site_fract_x
_atom_site_fract_y
_atom_site_fract_z
Tb1 Tb 0.000 0.094 0.250
Nd1 Nd 0.246 0.447 0.043
Y1 Y 0.000 0.482 0.750
Tm1 Tm 0.065 0.309 0.443
Tm2 Tm 0.103 0.106 0.619
Tm3 Tm 0.199 0.276 0.814
```

# Tb2Nd4Y2Tm

An optimized crystal structure of Tb2Nd4Y2Tm (GGA-PBE, the Alexandria database).

**Calculated density**: 6.89 g/cm³
**Total DFT energy (no corrections)**: -5.06 eV per atom
**Crystal system**: monoclinic

CIF file:
```
data_Tb2Nd4Y2Tm
_chemical_formula_sum 'Tb4 Nd8 Y4 Tm2'
_symmetry_space_group_name_H-M 'C 1 2/m 1'
_symmetry_Int_Tables_number 12
_symmetry_space_group_name_Hall '-C 2y'
_cell_length_a 15.311
_cell_length_b 5.110
_cell_length_c 8.067
_cell_angle_alpha 90.00
_cell_angle_beta 108.52
_cell_angle_gamma 90.00
loop_
_atom_site_label
_atom_site_type_symbol
_atom_site_fract_x
_atom_site_fract_y
_atom_site_fract_z
Tb1 Tb 0.166 0.000 0.000
Nd1 Nd 0.055 0.000 0.330
Nd2 Nd 0.222 0.500 0.331
Y1 Y 0.112 0.500 0.670
Tm1 Tm 0.000 0.500 0.000
```

# Tb3NdY2Tm6

An optimized crystal structure of Tb3NdY2Tm6 (GGA-PBE, the Alexandria database).

**Calculated density**: 8.04 g/cm³
**Total DFT energy (no corrections)**: -4.84 eV per atom
**Crystal system**: monoclinic

CIF file:
```
data_Tb3NdY2Tm6
_chemical_formula_sum 'Tb6 Nd2 Y4 Tm12'
_symmetry_space_group_name_H-M 'C 1 2/m 1'
_symmetry_Int_Tables_number 12
_symmetry_space_group_name_Hall '-C 2y'
_cell_length_a 6.128
_cell_length_b 10.605
_cell_length_c 11.695
_cell_angle_alpha 90.00
_cell_angle_beta 100.03
_cell_angle_gamma 90.00
loop_
_atom_site_label
_atom_site_type_symbol
_atom_site_fract_x
_atom_site_fract_y
_atom_site_fract_z
Tb1 Tb 0.000 0.000 0.000
Tb2 Tb 0.000 0.333 0.000
Nd1 Nd 0.000 0.500 0.500
Y1 Y 0.000 0.167 0.500
Tm1 Tm 0.249 0.167 0.248
Tm2 Tm 0.249 0.500 0.248
```

Repeat the seventh record exactly.
# TbNdYTm3

An optimized crystal structure of TbNdYTm3 (GGA-PBE, the Alexandria database).

**Calculated density**: 7.80 g/cm³
**Total DFT energy (no corrections)**: -4.76 eV per atom
**Crystal system**: orthorhombic

CIF file:
```
data_TbNdYTm3
_chemical_formula_sum 'Tb4 Nd4 Y4 Tm12'
_symmetry_space_group_name_H-M 'C m c m'
_symmetry_Int_Tables_number 63
_symmetry_space_group_name_Hall '-C 2c 2'
_cell_length_a 5.685
_cell_length_b 11.949
_cell_length_c 11.273
_cell_angle_alpha 90.00
_cell_angle_beta 90.00
_cell_angle_gamma 90.00
loop_
_atom_site_label
_atom_site_type_symbol
_atom_site_fract_x
_atom_site_fract_y
_atom_site_fract_z
Tb1 Tb 0.000 0.000 0.000
Nd1 Nd 0.000 0.478 0.250
Y1 Y 0.000 0.174 0.250
Tm1 Tm 0.000 0.153 0.750
Tm2 Tm 0.000 0.326 0.520
```

> Look up the total DFT energy (no corrections) of the fifth one.

-4.71 eV per atom

Copy entry 8 word for word.
# TbNd2YTm6

An optimized crystal structure of TbNd2YTm6 (GGA-PBE, the Alexandria database).

**Calculated density**: 8.08 g/cm³
**Total DFT energy (no corrections)**: -4.63 eV per atom
**Crystal system**: monoclinic

CIF file:
```
data_TbNd2YTm6
_chemical_formula_sum 'Tb4 Nd8 Y4 Tm24'
_symmetry_space_group_name_H-M 'C 1 2/c 1'
_symmetry_Int_Tables_number 15
_symmetry_space_group_name_Hall '-C 2yc'
_cell_length_a 8.947
_cell_length_b 14.981
_cell_length_c 9.625
_cell_angle_alpha 90.00
_cell_angle_beta 99.03
_cell_angle_gamma 90.00
loop_
_atom_site_label
_atom_site_type_symbol
_atom_site_fract_x
_atom_site_fract_y
_atom_site_fract_z
Tb1 Tb 0.000 0.094 0.250
Nd1 Nd 0.246 0.447 0.043
Y1 Y 0.000 0.482 0.750
Tm1 Tm 0.065 0.309 0.443
Tm2 Tm 0.103 0.106 0.619
Tm3 Tm 0.199 0.276 0.814
```

> What is the formula in the ninth record?

Tb2Nd4Y2Tm